Record 1
This record from the Alexandria database describes a relaxed structure of Tb4Te2RhS. The functional is PBE.

It has space group P2/m (No. 10), with a = 7.310 Å, b = 4.093 Å, c = 7.460 Å, α = 90.00°, β = 108.38° and γ = 90.00°. Symmetry generates all atoms from Tb at (0.227, 0.000, 0.207), Tb at (0.259, 0.500, 0.788), Te at (0.000, 0.000, 0.500), Te at (0.500, 0.500, 0.500), Rh at (0.000, 0.500, 0.000) and S at (0.500, 0.000, 0.000).

The value obtained for the uncorrected formation energy is -1.36 eV per atom.

---

Record 2
This record from the Alexandria database describes a relaxed structure of TbThRhS. The functional is PBE.

It has space group R3m (No. 160, hexagonal axes), with a = 3.9562 Å, b = 3.9562 Å, c = 21.7887 Å, α = 90.00°, β = 90.00° and γ = 120.00°. Symmetry generates all atoms from Tb at (0.0000, 0.0000, 0.0000), Th at (0.0000, 0.0000, 0.8184), Rh at (0.0000, 0.0000, 0.4129) and S at (0.0000, 0.0000, 0.2446).

The value obtained for the uncorrected formation energy is -1.26 eV per atom.

---

Record 3
This record from the Alexandria database describes a relaxed structure of TcRh3S. The functional is PBE.

It has space group Pm-3m (No. 221), with a = 4.665 Å, b = 4.665 Å, c = 4.665 Å, α = 90.00°, β = 90.00° and γ = 90.00°. Symmetry generates all atoms from Tc at (0.000, 0.000, 0.000), Rh at (0.000, 0.000, 0.500) and S at (0.500, 0.500, 0.500).

The value obtained for the uncorrected formation energy is 1.44 eV per atom. For the distance to the lowest polymorph of the same formula, the calculation gives 882.3 meV per atom.

---

Record 4
This record from the Alexandria database describes a relaxed structure of TcRhS4. The functional is PBE.

It has space group P2_1/c (No. 14), with a = 5.698 Å, b = 5.702 Å, c = 5.715 Å, α = 90.00°, β = 90.32° and γ = 90.00°. Symmetry generates all atoms from Tc at (0.000, 0.000, 0.000), Rh at (0.500, 0.000, 0.500), S at (0.108, 0.117, 0.619) and S at (0.380, 0.611, 0.609).

The value obtained for the uncorrected formation energy is -0.49 eV per atom.

---

Record 5
This record from the Alexandria database describes a relaxed structure of TcRh3S. The functional is PBE.

It has space group Pm-3m (No. 221), with a = 4.379 Å, b = 4.379 Å, c = 4.379 Å, α = 90.00°, β = 90.00° and γ = 90.00°. Symmetry generates all atoms from Tc at (0.000, 0.000, 0.000), Rh at (0.000, 0.500, 0.500) and S at (0.500, 0.500, 0.500).

The value obtained for the uncorrected formation energy is 0.56 eV per atom. For the distance to the lowest polymorph of the same formula, the calculation gives 0.0 meV per atom.

---

Record 6
This record from the Alexandria database describes a relaxed structure of TcRhS. The functional is PBE.

It has space group P4/nmm (No. 129, origin choice 2), with a = 3.297 Å, b = 3.297 Å, c = 8.808 Å, α = 90.00°, β = 90.00° and γ = 90.00°. Symmetry generates all atoms from Tc at (0.250, 0.250, 0.068), Rh at (0.250, 0.250, 0.745) and S at (0.250, 0.250, 0.334).

The value obtained for the uncorrected formation energy is -0.10 eV per atom.

---

Record 7
This record from the Alexandria database describes a relaxed structure of TcRh2S. The functional is PBE.

It has space group I-42d (No. 122), with a = 5.415 Å, b = 5.415 Å, c = 10.718 Å, α = 90.00°, β = 90.00° and γ = 90.00°. Symmetry generates all atoms from Tc at (0.000, 0.000, 0.000), Rh at (0.232, 0.250, 0.625) and S at (0.000, 0.000, 0.500).

The value obtained for the uncorrected formation energy is 0.45 eV per atom.

---

Record 8
This record from the Alexandria database describes a relaxed structure of TcRhS3. The functional is PBE.

It has space group Pm-3m (No. 221), with a = 4.584 Å, b = 4.584 Å, c = 4.584 Å, α = 90.00°, β = 90.00° and γ = 90.00°. Symmetry generates all atoms from Tc at (0.000, 0.000, 0.000), Rh at (0.500, 0.500, 0.500) and S at (0.000, 0.000, 0.500).

The value obtained for the uncorrected formation energy is 0.71 eV per atom. For the distance to the lowest polymorph of the same formula, the calculation gives 0.0 meV per atom.

---

Record 9
This record from the Alexandria database describes a relaxed structure of TiTc2RhS. The functional is PBE.

It has space group P4/mmm (No. 123), with a = 4.521 Å, b = 4.521 Å, c = 4.424 Å, α = 90.00°, β = 90.00° and γ = 90.00°. Symmetry generates all atoms from Ti at (0.000, 0.000, 0.000), Tc at (0.000, 0.500, 0.000), Rh at (0.500, 0.500, 0.500) and S at (0.000, 0.000, 0.500).

The value obtained for the uncorrected formation energy is 1.27 eV per atom.

---

Record 10
This record from the Alexandria database describes a relaxed structure of TeRh2S. The functional is PBE.

It has space group Fm-3m (No. 225), with a = 6.403 Å, b = 6.403 Å, c = 6.403 Å, α = 90.00°, β = 90.00° and γ = 90.00°. Symmetry generates all atoms from Te at (0.000, 0.000, 0.000), Rh at (0.250, 0.250, 0.250) and S at (0.000, 0.000, 0.500).

The value obtained for the uncorrected formation energy is 0.06 eV per atom. For the distance to the lowest polymorph of the same formula, the calculation gives 300.4 meV per atom.

---

Record 11
This record from the Alexandria database describes a relaxed structure of TeRh3S. The functional is PBE.

It has space group Pm-3m (No. 221), with a = 4.840 Å, b = 4.840 Å, c = 4.840 Å, α = 90.00°, β = 90.00° and γ = 90.00°. Symmetry generates all atoms from Te at (0.000, 0.000, 0.000), Rh at (0.000, 0.000, 0.500) and S at (0.500, 0.500, 0.500).

The value obtained for the uncorrected formation energy is 1.13 eV per atom. For the distance to the lowest polymorph of the same formula, the calculation gives 999.8 meV per atom.

---

Record 12
This record from the Alexandria database describes a relaxed structure of Te3RhS. The functional is PBE.

It has space group Pm-3m (No. 221), with a = 5.180 Å, b = 5.180 Å, c = 5.180 Å, α = 90.00°, β = 90.00° and γ = 90.00°. Symmetry generates all atoms from Te at (0.000, 0.000, 0.500), Rh at (0.000, 0.000, 0.000) and S at (0.500, 0.500, 0.500).

The value obtained for the uncorrected formation energy is 0.59 eV per atom. For the distance to the lowest polymorph of the same formula, the calculation gives 0.0 meV per atom.

---

Record 13
This record from the Alexandria database describes a relaxed structure of Te3RhS. The functional is PBE.

It has space group Pm-3m (No. 221), with a = 5.151 Å, b = 5.151 Å, c = 5.151 Å, α = 90.00°, β = 90.00° and γ = 90.00°. Symmetry generates all atoms from Te at (0.000, 0.000, 0.500), Rh at (0.500, 0.500, 0.500) and S at (0.000, 0.000, 0.000).

The value obtained for the uncorrected formation energy is 0.96 eV per atom. For the distance to the lowest polymorph of the same formula, the calculation gives 363.6 meV per atom.

---

Record 14
This record from the Alexandria database describes a relaxed structure of TeRh2S. The functional is PBE.

It has space group R-3m (No. 166, hexagonal axes), with a = 4.3341 Å, b = 4.3341 Å, c = 17.8513 Å, α = 90.00°, β = 90.00° and γ = 120.00°. Symmetry generates all atoms from Te at (0.0000, 0.0000, 0.0000), Rh at (0.0000, 0.0000, 0.3799) and S at (0.0000, 0.0000, 0.5000).

The value obtained for the uncorrected formation energy is -0.01 eV per atom. For the distance to the lowest polymorph of the same formula, the calculation gives 225.7 meV per atom.

---

Record 15
This record from the Alexandria database describes a relaxed structure of TeRhS3. The functional is PBE.

It has space group Pm-3m (No. 221), with a = 4.643 Å, b = 4.643 Å, c = 4.643 Å, α = 90.00°, β = 90.00° and γ = 90.00°. Symmetry generates all atoms from Te at (0.000, 0.000, 0.000), Rh at (0.500, 0.500, 0.500) and S at (0.000, 0.500, 0.500).

The value obtained for the uncorrected formation energy is 0.37 eV per atom. For the distance to the lowest polymorph of the same formula, the calculation gives 0.0 meV per atom.

---

Record 16
This record from the Alexandria database describes a relaxed structure of TeRh2S. The functional is PBE.

It has space group I-42d (No. 122), with a = 4.943 Å, b = 4.943 Å, c = 13.430 Å, α = 90.00°, β = 90.00° and γ = 90.00°. Symmetry generates all atoms from Te at (0.000, 0.000, 0.000), Rh at (0.169, 0.250, 0.625) and S at (0.000, 0.000, 0.500).

The value obtained for the uncorrected formation energy is -0.24 eV per atom. For the distance to the lowest polymorph of the same formula, the calculation gives 0.0 meV per atom.

---

Record 17
This record from the Alexandria database describes a relaxed structure of TeRhS4. The functional is PBE.

It has space group C2/m (No. 12), with a = 13.561 Å, b = 3.615 Å, c = 6.335 Å, α = 90.00°, β = 115.50° and γ = 90.00°. Symmetry generates all atoms from Te at (0.000, 0.000, 0.000), Rh at (0.000, 0.500, 0.500), S at (0.106, 0.000, 0.743) and S at (0.117, 0.500, 0.305).

The value obtained for the uncorrected formation energy is -0.13 eV per atom.

---

Record 18
This record from the Alexandria database describes a relaxed structure of TeRhS. The functional is PBE.

It has space group P2_1/c (No. 14), with a = 6.492 Å, b = 6.076 Å, c = 6.425 Å, α = 90.00°, β = 105.83° and γ = 90.00°. Symmetry generates all atoms from Te at (0.148, 0.123, 0.347), Rh at (0.270, 0.516, 0.256) and S at (0.366, 0.627, 0.636).

The value obtained for the uncorrected formation energy is -0.35 eV per atom. For the distance to the lowest polymorph of the same formula, the calculation gives 8.6 meV per atom.

---

Record 19
This record from the Alexandria database describes a relaxed structure of TeRhS2. The functional is PBE.

It has space group R-3m (No. 166, hexagonal axes), with a = 3.5967 Å, b = 3.5967 Å, c = 23.0830 Å, α = 90.00°, β = 90.00° and γ = 120.00°. Symmetry generates all atoms from Te at (0.0000, 0.0000, 0.0000), Rh at (0.0000, 0.0000, 0.5000) and S at (0.0000, 0.0000, 0.1156).

The value obtained for the uncorrected formation energy is -0.25 eV per atom.

---

Record 20
This record from the Alexandria database describes a relaxed structure of TeRhS. The functional is PBE.

It has space group P3m1 (No. 156), with a = 3.7237 Å, b = 3.7237 Å, c = 5.1197 Å, α = 90.00°, β = 90.00° and γ = 120.00°. Symmetry generates all atoms from Te at (0.0000, 0.0000, 0.0000), Rh at (0.6667, 0.3333, 0.7002) and S at (0.3333, 0.6667, 0.4807).

The value obtained for the uncorrected formation energy is -0.31 eV per atom. For the distance to the lowest polymorph of the same formula, the calculation gives 49.6 meV per atom.

---

Record 21
This record from the Alexandria database describes a relaxed structure of TeRh3S. The functional is PBE.

It has space group Pm-3m (No. 221), with a = 4.463 Å, b = 4.463 Å, c = 4.463 Å, α = 90.00°, β = 90.00° and γ = 90.00°. Symmetry generates all atoms from Te at (0.000, 0.000, 0.000), Rh at (0.000, 0.500, 0.500) and S at (0.500, 0.500, 0.500).

The value obtained for the uncorrected formation energy is 0.13 eV per atom. For the distance to the lowest polymorph of the same formula, the calculation gives 0.0 meV per atom.

---

Record 22
This record from the Alexandria database describes a relaxed structure of TeRhS. The functional is PBE.

It has space group P2_13 (No. 198), with a = 6.161 Å, b = 6.161 Å, c = 6.161 Å, α = 90.00°, β = 90.00° and γ = 90.00°. Symmetry generates all atoms from Te at (0.128, 0.372, 0.628), Rh at (0.015, 0.985, 0.485) and S at (0.114, 0.114, 0.114).

The value obtained for the uncorrected formation energy is -0.36 eV per atom. For the distance to the lowest polymorph of the same formula, the calculation gives 0.0 meV per atom.

---

Record 23
This record from the Alexandria database describes a relaxed structure of Th6Te3Rh2S. The functional is PBE.

It has space group C2/m (No. 12), with a = 7.350 Å, b = 12.688 Å, c = 7.819 Å, α = 90.00°, β = 108.15° and γ = 90.00°. Symmetry generates all atoms from Th at (0.224, 0.000, 0.207), Th at (0.242, 0.328, 0.208), Te at (0.000, 0.000, 0.500), Te at (0.000, 0.338, 0.500), Rh at (0.000, 0.167, 0.000) and S at (0.000, 0.500, 0.000).

The value obtained for the uncorrected formation energy is -1.16 eV per atom.

---

Record 24
This record from the Alexandria database describes a relaxed structure of Tl2TeRh2S6. The functional is PBE.

It has space group C2/m (No. 12), with a = 6.350 Å, b = 11.017 Å, c = 7.648 Å, α = 90.00°, β = 104.28° and γ = 90.00°. Symmetry generates all atoms from Tl at (0.000, 0.157, 0.000), Te at (0.000, 0.000, 0.500), Rh at (0.000, 0.333, 0.500), S at (0.189, 0.500, 0.678) and S at (0.233, 0.180, 0.678).

The value obtained for the uncorrected formation energy is -0.28 eV per atom.

---

Record 25
This record from the Alexandria database describes a relaxed structure of Tm6Te3Rh2S. The functional is PBE.

It has space group C2/m (No. 12), with a = 7.070 Å, b = 12.289 Å, c = 7.458 Å, α = 90.00°, β = 108.76° and γ = 90.00°. Symmetry generates all atoms from Tm at (0.225, 0.000, 0.207), Tm at (0.240, 0.328, 0.208), Te at (0.000, 0.000, 0.500), Te at (0.000, 0.337, 0.500), Rh at (0.000, 0.168, 0.000) and S at (0.000, 0.500, 0.000).

The value obtained for the uncorrected formation energy is -1.23 eV per atom.

---

Record 26
This record from the Alexandria database describes a relaxed structure of Y6Te3Rh2S. The functional is PBE.

It has space group C2/m (No. 12), with a = 7.170 Å, b = 12.438 Å, c = 7.558 Å, α = 90.00°, β = 108.71° and γ = 90.00°. Symmetry generates all atoms from Y at (0.228, 0.000, 0.210), Y at (0.240, 0.329, 0.210), Te at (0.000, 0.000, 0.500), Te at (0.000, 0.336, 0.500), Rh at (0.000, 0.167, 0.000) and S at (0.000, 0.500, 0.000).

The value obtained for the uncorrected formation energy is -1.26 eV per atom.